No. 1
Below is a relaxed structure of AsS3, with properties calculated at the GGA-PBE level.

Computed properties:
Formation energy (no corrections) ... 0.13 eV/atom
Symmetry ... P2_1/m

a = 3.9760 Å, b = 5.5971 Å, c = 9.4515 Å
α = 79.23°, β = 90.00°, γ = 90.00°
With the nearest neighbours (Å) after each atom.
Atoms (fractional coordinates):
S1 0.7500 0.6364 0.8667  1 S 1.90
S2 0.7500 0.2971 0.9424  1 S 1.90
S3 0.2500 0.2635 0.5784  3 As 2.40-2.54
S4 0.7500 0.7365 0.4216  3 As 2.40-2.54
S5 0.2500 0.3636 0.1333  1 S 1.90
As1 0.7500 0.2787 0.4351  3 S 2.40-2.54
S6 0.2500 0.7029 0.0576  1 S 1.90
As2 0.2500 0.7213 0.5649  3 S 2.40-2.54

No. 2
Below is a relaxed structure of GaCuIrI2, with properties calculated at the GGA-PBE level.

Computed properties:
Formation energy (no corrections) ... 1.31 eV/atom
Symmetry ... P4/mmm

a = 5.6655 Å, b = 4.4659 Å, c = 5.6655 Å
α = 90.00°, β = 90.00°, γ = 90.00°
With the nearest neighbours (Å) after each atom.
Atoms (fractional coordinates):
Cu1 0.0000 0.5000 0.0000  2 Ga 2.23
Ga1 0.0000 0.0000 0.0000  2 Cu 2.23
I1 0.5000 0.0000 0.0000  2 Ga 2.83
Ir1 0.5000 0.5000 0.5000  8 I 3.61, 4 Cu 4.01
I2 0.0000 0.0000 0.5000  2 Ga 2.83

No. 3
Below is a relaxed structure of Ac3PuRu2N6, with properties calculated at the GGA-PBE level.

Computed properties:
Formation energy (no corrections) ... -0.68 eV/atom
Symmetry ... P-3m1

a = 5.9834 Å, b = 5.9834 Å, c = 6.8068 Å
α = 90.00°, β = 90.00°, γ = 120.00°
With the nearest neighbours (Å) after each atom.
Atoms (fractional coordinates):
N1 0.6615 0.8307 0.3047  1 Ru 1.89
Pu1 0.0000 0.0000 0.5000  6 N 2.20
N2 0.8307 0.1693 0.6953  1 Ru 1.89
Ru1 0.3333 0.6667 0.1826  3 N 1.89
N3 0.8307 0.6615 0.6953  1 Ru 1.89
N4 0.1693 0.3385 0.3047  1 Ru 1.89
Ru2 0.6667 0.3333 0.8174  3 N 1.89
Ac1 0.3333 0.6667 0.6668  9 N 2.99-3.00, 1 Ru 3.30
Ac2 0.0000 0.0000 0.0000  6 N 2.72
N5 0.3385 0.1693 0.6953  1 Ru 1.89
Ac3 0.6667 0.3333 0.3332  9 N 2.99-3.00, 1 Ru 3.30
N6 0.1693 0.8307 0.3047  1 Ru 1.89

No. 4
Below is a relaxed structure of Ba4Ca2Pt, with properties calculated at the GGA-PBE level.

Computed properties:
ΔH_f (0 K) ... -0.13 eV per atom
Symmetry ... I4/mmm

a = 6.1911 Å, b = 6.1911 Å, c = 11.1044 Å
α = 106.19°, β = 106.19°, γ = 90.00°
With the nearest neighbours (Å) after each atom.
Atoms (fractional coordinates):
Ba1 0.8441 0.8441 0.6882  1 Pt 3.18
Ca1 0.3585 0.3585 0.7170  9 Ba 4.14-4.39
Ba2 0.1559 0.1559 0.3118  1 Pt 3.18
Ba3 0.5000 0.0000 0.0000  2 Pt 3.10
Pt1 0.0000 0.0000 0.0000  6 Ba 3.10-3.18
Ca2 0.6415 0.6415 0.2830  9 Ba 4.14-4.39
Ba4 0.0000 0.5000 0.0000  2 Pt 3.10

No. 5
Below is a relaxed structure of Sn3H, with properties calculated at the GGA-PBE level.

Computed properties:
Symmetry ... Imm2
Total energy ... -3.572 eV per atom

a = 3.2687 Å, b = 5.7820 Å, c = 5.6555 Å
α = 120.74°, β = 106.80°, γ = 90.00°
With the nearest neighbours (Å) after each atom.
Atoms (fractional coordinates):
Sn1 0.6780 0.0936 0.3561  2 H 2.31
Sn2 0.3220 0.7376 0.6439  2 H 2.31
Sn3 0.5000 0.4166 0.0000  10 Sn 3.27-3.37, 4 H 3.31-3.33
H1 0.0000 0.9189 0.0000  4 Sn 2.31

No. 6
Below is a relaxed structure of CaZrAlBi2, with properties calculated at the GGA-PBE level.

Computed properties:
ΔH_f (0 K) ... 0.63 eV per atom
Symmetry ... P4/mmm

a = 5.4963 Å, b = 5.3135 Å, c = 5.4963 Å
α = 90.00°, β = 90.00°, γ = 90.00°
With the nearest neighbours (Å) after each atom.
Atoms (fractional coordinates):
Bi1 0.5000 0.0000 0.0000  2 Al 2.75
Al1 0.0000 0.0000 0.0000  2 Ca 2.66, 4 Bi 2.75
Bi2 0.0000 0.0000 0.5000  2 Al 2.75
Ca1 0.0000 0.5000 0.0000  2 Al 2.66
Zr1 0.5000 0.5000 0.5000  8 Bi 3.82, 4 Ca 3.89

No. 7
Below is a relaxed structure of TaRe3Mo, with properties calculated at the GGA-PBE level.

Computed properties:
ΔH_f (0 K) ... 2.01 eV per atom
Symmetry ... Pm-3m
Energy relative to the lowest polymorph listed for this composition ... 0.000 eV/atom

a = 4.6301 Å, b = 4.6301 Å, c = 4.6301 Å
α = 90.00°, β = 90.00°, γ = 90.00°
With the nearest neighbours (Å) after each atom.
Atoms (fractional coordinates):
Re1 0.5000 0.0000 0.0000  2 Mo 2.32
Ta1 0.5000 0.5000 0.5000  12 Re 3.27
Re2 0.0000 0.0000 0.5000  2 Mo 2.32
Re3 0.0000 0.5000 0.0000  2 Mo 2.32
Mo1 0.0000 0.0000 0.0000  6 Re 2.32

No. 8
Below is a relaxed structure of LiScP2, with properties calculated at the GGA-PBE level.

Computed properties:
ΔH_f (0 K) ... -0.58 eV per atom
Symmetry ... Fm-3m
Energy relative to the lowest polymorph listed for this composition ... 0.241 eV/atom

a = 4.5191 Å, b = 4.5191 Å, c = 4.5191 Å
α = 60.00°, β = 60.00°, γ = 60.00°
With the nearest neighbours (Å) after each atom.
Atoms (fractional coordinates):
Li1 0.0000 0.0000 0.0000  8 P 2.77
P1 0.2500 0.2500 0.2500  4 Li 2.77, 4 Sc 2.77
P2 0.7500 0.7500 0.7500  4 Li 2.77, 4 Sc 2.77
Sc1 0.5000 0.5000 0.5000  8 P 2.77

No. 9
Below is a relaxed structure of Zn3SeF, with properties calculated at the GGA-PBE level.

Computed properties:
Formation energy (no corrections) ... -0.17 eV/atom
Symmetry ... Pm-3m
Energy relative to the lowest polymorph listed for this composition ... 0.633 eV/atom

a = 4.4985 Å, b = 4.4985 Å, c = 4.4985 Å
α = 90.00°, β = 90.00°, γ = 90.00°
With the nearest neighbours (Å) after each atom.
Atoms (fractional coordinates):
F1 0.0000 0.0000 0.0000  6 Zn 2.25
Zn1 0.0000 0.5000 0.0000  2 F 2.25
Zn2 0.0000 0.0000 0.5000  2 F 2.25
Se1 0.5000 0.5000 0.5000  12 Zn 3.18
Zn3 0.5000 0.0000 0.0000  2 F 2.25

No. 10
Below is a relaxed structure of GaIF6, with properties calculated at the GGA-PBE level.

Computed properties:
Formation energy (no corrections) ... -1.89 eV/atom
Symmetry ... P-1

a = 5.0245 Å, b = 5.5779 Å, c = 6.6117 Å
α = 55.68°, β = 63.87°, γ = 62.30°
With the nearest neighbours (Å) after each atom.
Atoms (fractional coordinates):
F1 0.3627 0.8310 0.8438  1 Ga 1.77
F2 0.8258 0.1518 0.7022  1 I 2.07, 1 Ga 2.08
F3 0.1294 0.3905 0.8088  1 Ga 2.06, 1 I 2.08
F4 0.6373 0.1690 0.1562  1 Ga 1.77
I1 0.5000 0.5000 0.5000  4 F 2.07-2.08
F5 0.8706 0.6095 0.1912  1 Ga 2.06, 1 I 2.08
Ga1 0.0000 0.0000 0.0000  2 F 1.77
F6 0.1742 0.8482 0.2978  1 I 2.07, 1 Ga 2.08

No. 11
Below is a relaxed structure of Na2GaBi2, with properties calculated at the GGA-PBE level.

Computed properties:
ΔH_f (0 K) ... 0.05 eV per atom
Symmetry ... I4/mmm
Energy relative to the lowest polymorph listed for this composition ... 0.258 eV/atom

a = 4.9667 Å, b = 4.9667 Å, c = 7.6619 Å
α = 71.09°, β = 71.09°, γ = 90.00°
With the nearest neighbours (Å) after each atom.
Atoms (fractional coordinates):
Bi1 0.3957 0.3957 0.2087  1 Bi 2.84, 4 Na 3.18
Ga1 0.0000 0.0000 0.0000  8 Bi 3.79, 8 Na 4.21
Na1 0.7500 0.2500 0.5000  4 Bi 3.18, 4 Na 3.51
Bi2 0.6043 0.6043 0.7913  1 Bi 2.84, 4 Na 3.18
Na2 0.2500 0.7500 0.5000  4 Bi 3.18, 4 Na 3.51

No. 12
Below is a relaxed structure of Cs2LiSbI6, with properties calculated at the GGA-PBE level.

Computed properties:
Formation energy (no corrections) ... -0.99 eV/atom
Symmetry ... Fm-3m
Energy relative to the lowest polymorph listed for this composition ... 0.016 eV/atom

a = 8.5577 Å, b = 8.5577 Å, c = 8.5577 Å
α = 60.00°, β = 60.00°, γ = 60.00°
With the nearest neighbours (Å) after each atom.
Atoms (fractional coordinates):
I1 0.2507 0.7493 0.7493  1 Li 3.02, 1 Sb 3.03
I2 0.7493 0.2507 0.2507  1 Li 3.02, 1 Sb 3.03
Cs1 0.7500 0.7500 0.7500  12 I 4.28
I3 0.2507 0.2507 0.7493  1 Li 3.02, 1 Sb 3.03
I4 0.7493 0.2507 0.7493  1 Li 3.02, 1 Sb 3.03
I5 0.7493 0.7493 0.2507  1 Li 3.02, 1 Sb 3.03
Li1 0.5000 0.5000 0.5000  6 I 3.02
Cs2 0.2500 0.2500 0.2500  12 I 4.28
Sb1 0.0000 0.0000 0.0000  6 I 3.03
I6 0.2507 0.7493 0.2507  1 Li 3.02, 1 Sb 3.03

no.,magnetic moment (μB/f.u.),volume (A^3/atom)
1,0.000,25.83
2,2.128,28.67
3,2.815,17.59
4,0.001,55.88
5,0.000,21.63
6,1.901,32.10
7,0.000,19.85
8,0.000,16.31
9,0.000,18.21
10,0.000,16.43
11,0.000,33.60
12,0.000,44.32